{
  "formula": "Cr2SbPb",
  "functional": "PBE",
  "state": "optimized geometry",
  "e_tot_ev_per_atom": -6.4898,
  "magnetic_moment_mub_per_cell": 0.3,
  "lattice_angstrom": [[3.207, 0.000, 0.000], [0.000, 3.207, 0.000], [0.000, 0.000, 8.150]],
  "species": ["Cr", "Cr", "Sb", "Pb"],
  "fractional_positions": [[0.000, 0.000, 0.000], [0.500, 0.500, 0.139], [0.500, 0.500, 0.783], [0.000, 0.000, 0.389]]
}